The following is a PBE calculation of Na3Sc3SbS8 after structural relaxation, from Alexandria.

```
Na3Sc3SbS8
1.0
7.547 -0.002 0.002
-3.775 6.537 -0.025
0.003 -4.334 6.716
Na Sc Sb S
3 3 1 8
direct
0.000 0.000 0.000 Na
0.000 0.500 0.000 Na
0.500 0.500 0.000 Na
0.500 0.000 0.500 Sc
0.500 0.500 0.500 Sc
0.000 0.500 0.500 Sc
0.000 0.000 0.500 Sb
0.262 0.523 0.285 S
0.738 0.477 0.715 S
0.760 0.520 0.285 S
0.240 0.480 0.715 S
0.760 0.025 0.285 S
0.240 0.975 0.715 S
0.265 0.025 0.285 S
0.735 0.975 0.715 S
```

Values from the calculation:
The uncorrected formation energy comes out at -1423 meV/atom. The total energy is -5.430 eV/atom. Its calculated volume is 22.034 Å³ per atom. As for the crystal system: trigonal.